No. 1
Compound: BaZn2Ir
Source: the Alexandria database
Functional: PBE
Structure: optimized geometry

abc: 3.4365 5.0456 5.1099
angles: 90.00 90.00 90.00
With the nearest neighbours (Å) after each atom.
Atoms (fractional coordinates):
Ba 0.0000 0.0000 0.0000  4 Zn 3.05, 4 Ir 3.08
Zn 0.0000 0.5000 0.5000  4 Ir 3.05, 4 Zn 3.08
Zn 0.5000 0.5000 0.0000  4 Ba 3.05, 4 Zn 3.08
Ir 0.5000 0.0000 0.5000  4 Zn 3.05, 4 Ba 3.08

Properties
Its formation energy is 9.70 kcal/mol of atoms. As for the total energy: -2.912 eV per atom. The calculation puts the density of states at the Fermi level at 0.501 states/eV/atom.

No. 2
Compound: BaZn3Ir
Source: the Alexandria database
Functional: PBE
Structure: optimized geometry

abc: 12.4279 12.4279 4.6347
angles: 90.00 90.00 144.83
With the nearest neighbours (Å) after each atom.
Atoms (fractional coordinates):
Ba 0.1395 0.8605 0.7500  1 Ir 2.87
Ba 0.8605 0.1395 0.2500  1 Ir 2.87
Zn 0.0000 0.0000 0.0000  2 Zn 2.32
Zn 0.0000 0.0000 0.5000  2 Zn 2.32
Zn 0.0898 0.5811 0.2500  3 Zn 2.47-2.66, 3 Ir 2.54-2.63
Zn 0.4189 0.9102 0.2500  3 Zn 2.47-2.66, 3 Ir 2.54-2.63
Zn 0.5811 0.0898 0.7500  3 Zn 2.47-2.66, 3 Ir 2.54-2.63
Zn 0.9102 0.4189 0.7500  3 Zn 2.47-2.66, 3 Ir 2.54-2.63
Ir 0.2605 0.7395 0.7500  6 Zn 2.54-2.63
Ir 0.7395 0.2605 0.2500  6 Zn 2.54-2.63

Properties
Its formation energy is 3.29 kcal/mol of atoms. As for the total energy: -2.779 eV per atom. The calculation puts the density of states at the Fermi level at 0.858 states/eV/atom. Its excess energy over the best structure of this formula in the dataset is 482 meV per atom.

No. 3
Compound: BaZn5Ir2
Source: the Alexandria database
Functional: PBE
Structure: optimized geometry

abc: 6.7768 6.7768 6.7768
angles: 143.44 112.91 78.90
With the nearest neighbours (Å) after each atom.
Atoms (fractional coordinates):
Ba 0.0000 0.0000 0.0000  4 Ir 3.49, 14 Zn 3.61-3.74
Zn 0.1388 0.3197 0.8191  3 Ir 2.55-2.58, 3 Zn 2.71-2.78
Zn 0.4994 0.6803 0.8191  3 Ir 2.55-2.58, 3 Zn 2.71-2.78
Zn 0.5000 0.0000 0.5000  2 Ir 2.46
Zn 0.5006 0.3197 0.1809  3 Ir 2.55-2.58, 3 Zn 2.71-2.78
Zn 0.8612 0.6803 0.1809  3 Ir 2.55-2.58, 3 Zn 2.71-2.78
Ir 0.2650 0.7650 0.5000  7 Zn 2.46-2.58
Ir 0.7350 0.2350 0.5000  7 Zn 2.46-2.58

Properties
Its formation energy is -5.17 kcal/mol of atoms. As for the total energy: -3.476 eV per atom. The calculation puts the density of states at the Fermi level at 0.433 states/eV/atom.

No. 4
Compound: BaZnIr3
Source: the Alexandria database
Functional: PBE
Structure: optimized geometry

abc: 4.7455 4.7455 4.7455
angles: 90.00 90.00 90.00
With the nearest neighbours (Å) after each atom.
Atoms (fractional coordinates):
Ba 0.0000 0.0000 0.0000  12 Ir 3.36
Zn 0.5000 0.5000 0.5000  6 Ir 2.37
Ir 0.0000 0.5000 0.5000  2 Zn 2.37
Ir 0.5000 0.0000 0.5000  2 Zn 2.37
Ir 0.5000 0.5000 0.0000  2 Zn 2.37

Properties
Its formation energy is 19.80 kcal/mol of atoms. As for the total energy: -5.098 eV per atom. The calculation puts the density of states at the Fermi level at 1.385 states/eV/atom. Its excess energy over the best structure of this formula in the dataset is 0 meV per atom.

No. 5
Compound: BaZn3Ir
Source: the Alexandria database
Functional: PBE
Structure: optimized geometry

abc: 12.5598 12.5598 12.5598
angles: 158.69 158.69 30.32
With the nearest neighbours (Å) after each atom.
Atoms (fractional coordinates):
Ba 0.0000 0.0000 0.0000  4 Zn 3.33
Ba 0.7500 0.2500 0.5000  8 Zn 3.17-3.34, 8 Ir 3.51
Zn 0.3489 0.3489 0.0000  2 Ir 2.60, 4 Zn 2.66
Zn 0.3741 0.1289 0.2452  2 Zn 2.28-2.37
Zn 0.6511 0.6511 0.0000  2 Ir 2.60, 4 Zn 2.66
Zn 0.8711 0.1163 0.2452  2 Zn 2.28-2.37
Zn 0.8711 0.6259 0.7548  2 Zn 2.28-2.37
Zn 0.8837 0.1289 0.7548  2 Zn 2.28-2.37
Ir 0.1993 0.6993 0.5000  1 Ir 2.46, 2 Zn 2.60
Ir 0.3007 0.8007 0.5000  1 Ir 2.46, 2 Zn 2.60

Properties
Its formation energy is 2.81 kcal/mol of atoms. As for the total energy: -2.799 eV per atom. The calculation puts the density of states at the Fermi level at 0.259 states/eV/atom. Its excess energy over the best structure of this formula in the dataset is 461 meV per atom.

No. 6
Compound: BaZn2Ir
Source: the Alexandria database
Functional: PBE
Structure: optimized geometry

abc: 4.9550 4.9550 4.9550
angles: 60.00 60.00 60.00
With the nearest neighbours (Å) after each atom.
Atoms (fractional coordinates):
Ba 0.0000 0.0000 0.0000  8 Zn 3.03
Zn 0.2500 0.2500 0.2500  4 Ir 3.03, 4 Ba 3.03
Zn 0.7500 0.7500 0.7500  4 Ir 3.03, 4 Ba 3.03
Ir 0.5000 0.5000 0.5000  8 Zn 3.03

Properties
Its formation energy is 5.31 kcal/mol of atoms. As for the total energy: -3.103 eV per atom. The calculation puts the density of states at the Fermi level at 0.709 states/eV/atom.

No. 7
Compound: BaZnIr
Source: the Alexandria database
Functional: PBE
Structure: optimized geometry

abc: 6.1640 6.1640 6.1640
angles: 146.61 146.61 47.94
With the nearest neighbours (Å) after each atom.
Atoms (fractional coordinates):
Ba 0.0000 0.0000 0.0000  1 Zn 3.10, 1 Ir 3.20
Zn 0.7249 0.7249 0.0000  4 Ir 2.59
Ir 0.2844 0.2844 0.0000  4 Zn 2.59

Properties
Its formation energy is 0.43 kcal/mol of atoms. As for the total energy: -4.001 eV per atom. The calculation puts the density of states at the Fermi level at 0.948 states/eV/atom.

No. 8
Compound: BaZn2Ir
Source: the Alexandria database
Functional: PBE
Structure: optimized geometry

abc: 5.1705 5.1705 3.2713
angles: 90.00 90.00 108.33
With the nearest neighbours (Å) after each atom.
Atoms (fractional coordinates):
Ba 0.0000 0.0000 0.0000  2 Ir 3.03, 8 Zn 3.06, 2 Ba 3.27
Zn 0.0000 0.5000 0.5000  4 Zn 3.03-3.27, 4 Ir 3.06, 4 Ba 3.06
Zn 0.5000 0.0000 0.5000  4 Zn 3.03-3.27, 4 Ir 3.06, 4 Ba 3.06
Ir 0.5000 0.5000 0.0000  2 Ba 3.03, 8 Zn 3.06, 2 Ir 3.27

Properties
Its formation energy is 11.10 kcal/mol of atoms. As for the total energy: -2.851 eV per atom. The calculation puts the density of states at the Fermi level at 0.709 states/eV/atom.

No. 9
Compound: BaZn3Ir
Source: the Alexandria database
Functional: PBE
Structure: optimized geometry

abc: 6.8560 6.8560 7.4502
angles: 122.13 122.13 55.88
With the nearest neighbours (Å) after each atom.
Atoms (fractional coordinates):
Ba 0.0000 0.0000 0.0000  9 Zn 3.47-3.75, 2 Ir 3.48
Ba 0.5207 0.5207 0.7211  11 Zn 3.48-3.73, 3 Ir 3.53-3.89
Zn 0.0130 0.0130 0.5337  3 Zn 2.48-2.75, 1 Ir 2.52
Zn 0.1117 0.5671 0.1888  2 Ir 2.48-2.53, 2 Zn 2.68-2.75
Zn 0.2663 0.2663 0.8306  5 Zn 2.48-2.68, 1 Ir 2.52
Zn 0.4474 0.9350 0.5127  2 Zn 2.56-2.79, 2 Ir 2.57-2.60
Zn 0.5671 0.1117 0.1888  2 Ir 2.48-2.53, 2 Zn 2.68-2.75
Zn 0.9350 0.4474 0.5127  2 Zn 2.56-2.79, 2 Ir 2.57-2.60
Ir 0.5097 0.5097 0.1878  1 Ir 2.51, 5 Zn 2.52-2.60
Ir 0.7543 0.7543 0.3141  5 Zn 2.48-2.57, 1 Ir 2.51

Properties
Its formation energy is -5.31 kcal/mol of atoms. As for the total energy: -3.151 eV per atom. The calculation puts the density of states at the Fermi level at 0.566 states/eV/atom. Its excess energy over the best structure of this formula in the dataset is 109 meV per atom.

No. 10
Compound: BaZn3Ir
Source: the Alexandria database
Functional: PBE
Structure: optimized geometry

abc: 6.8319 6.8319 6.8319
angles: 60.61 60.61 60.61
With the nearest neighbours (Å) after each atom.
Atoms (fractional coordinates):
Ba 0.1053 0.1053 0.1053  1 Ir 3.15, 9 Zn 3.40-3.49, 1 Ba 3.51
Ba 0.8947 0.8947 0.8947  1 Ir 3.15, 9 Zn 3.40-3.49, 1 Ba 3.51
Zn 0.1536 0.5488 0.5488  2 Ir 2.52-2.58, 2 Zn 2.72
Zn 0.4512 0.4512 0.8464  2 Ir 2.52-2.58, 2 Zn 2.72
Zn 0.4512 0.8464 0.4512  2 Ir 2.52-2.58, 2 Zn 2.72
Zn 0.5488 0.1536 0.5488  2 Ir 2.52-2.58, 2 Zn 2.72
Zn 0.5488 0.5488 0.1536  2 Ir 2.52-2.58, 2 Zn 2.72
Zn 0.8464 0.4512 0.4512  2 Ir 2.52-2.58, 2 Zn 2.72
Ir 0.2942 0.2942 0.2942  6 Zn 2.52-2.58
Ir 0.7058 0.7058 0.7058  6 Zn 2.52-2.58

Properties
Its formation energy is -3.47 kcal/mol of atoms. As for the total energy: -3.072 eV per atom. The calculation puts the density of states at the Fermi level at 0.458 states/eV/atom. Its excess energy over the best structure of this formula in the dataset is 189 meV per atom.

No. 11
Compound: BaZn3Ir
Source: the Alexandria database
Functional: PBE
Structure: optimized geometry

abc: 9.2099 9.2099 9.2099
angles: 145.05 145.05 50.26
With the nearest neighbours (Å) after each atom.
Atoms (fractional coordinates):
Ba 0.1609 0.1609 0.0000  2 Ir 3.14, 4 Zn 3.19
Ba 0.8391 0.8391 0.0000  2 Ir 3.14, 4 Zn 3.19
Zn 0.0104 0.5104 0.5000  2 Zn 2.77, 2 Ir 2.77
Zn 0.1419 0.3707 0.7712  2 Ir 2.50-2.51, 2 Zn 2.53-2.77
Zn 0.4896 0.9896 0.5000  2 Zn 2.77, 2 Ir 2.77
Zn 0.5995 0.3707 0.2288  2 Ir 2.50-2.51, 2 Zn 2.53-2.77
Zn 0.6293 0.4005 0.7712  2 Ir 2.50-2.51, 2 Zn 2.53-2.77
Zn 0.6293 0.8581 0.2288  2 Ir 2.50-2.51, 2 Zn 2.53-2.77
Ir 0.5000 0.5000 0.0000  8 Zn 2.50-2.77
Ir 0.7500 0.2500 0.5000  4 Zn 2.51

Properties
Its formation energy is -3.03 kcal/mol of atoms. As for the total energy: -3.053 eV per atom. The calculation puts the density of states at the Fermi level at 0.030 states/eV/atom. Its excess energy over the best structure of this formula in the dataset is 208 meV per atom.

No. 12
Compound: BaZn3Ir
Source: the Alexandria database
Functional: PBE
Structure: optimized geometry

abc: 6.3370 6.6101 6.8928
angles: 61.37 83.52 63.40
With the nearest neighbours (Å) after each atom.
Atoms (fractional coordinates):
Ba 0.0000 0.0000 0.0000  3 Ir 3.32-3.55, 8 Zn 3.33-3.66
Ba 0.0596 0.2708 0.3865  2 Ir 3.29-3.31, 6 Zn 3.31-3.59
Zn 0.3735 0.3083 0.8868  3 Zn 2.52-2.65, 2 Ir 2.63-2.67
Zn 0.4781 0.5537 0.4834  2 Ir 2.55-2.67, 4 Zn 2.57-2.65
Zn 0.5079 0.6685 0.7936  5 Zn 2.54-2.72, 2 Ir 2.64
Zn 0.5359 0.3786 0.2094  3 Zn 2.54-2.66, 2 Ir 2.61-2.63
Zn 0.6402 0.8822 0.3857  2 Ir 2.54, 3 Zn 2.58-2.71
Zn 0.9463 0.6477 0.7898  2 Zn 2.52-2.72, 1 Ir 2.53
Ir 0.5801 0.0800 0.6375  6 Zn 2.53-2.67, 1 Ir 2.68
Ir 0.5808 0.8009 0.0765  5 Zn 2.54-2.67, 1 Ir 2.68

Properties
Its formation energy is -4.55 kcal/mol of atoms. As for the total energy: -3.118 eV per atom. The calculation puts the density of states at the Fermi level at 0.509 states/eV/atom. Its excess energy over the best structure of this formula in the dataset is 142 meV per atom.